## 1
The following is a GGA-PBE calculation of crystalline Ca2VAu at its relaxed geometry, from Alexandria.

Properties
- SG = No. 122

a = 6.650 Å, b = 6.650 Å, c = 6.650 Å
α = 103.01°, β = 103.01°, γ = 123.34°
Element x y z (fractional)
Ca1 0.094 0.625 0.969
Ca2 0.375 0.344 0.469
Ca3 0.656 0.125 0.031
Ca4 0.875 0.906 0.531
V1 0.250 0.750 0.500
V2 0.500 0.500 0.000
Au1 0.000 0.000 0.000
Au2 0.750 0.250 0.500



## 2
The following is a GGA-PBE calculation of crystalline Ca2VAu at its relaxed geometry, from Alexandria.

Properties
- SG = No. 225

a = 5.204 Å, b = 5.204 Å, c = 5.204 Å
α = 60.00°, β = 60.00°, γ = 60.00°
Element x y z (fractional)
Ca1 0.250 0.250 0.250
Ca2 0.750 0.750 0.750
V1 0.000 0.000 0.000
Au1 0.500 0.500 0.500



The winner here is 2, beating the second structure by 213 meV per atom.



## 1
The following is a GGA-PBE calculation of crystalline CaW2Au at its relaxed geometry, from Alexandria.

Properties
- SG = No. 123

a = 3.566 Å, b = 3.566 Å, c = 6.758 Å
α = 90.00°, β = 90.00°, γ = 90.00°
Element x y z (fractional)
Ca1 0.000 0.000 0.000
W1 0.500 0.500 0.326
W2 0.500 0.500 0.674
Au1 0.000 0.000 0.500



## 2
The following is a GGA-PBE calculation of crystalline CaW2Au at its relaxed geometry, from Alexandria.

Properties
- SG = No. 160

a = 10.237 Å, b = 10.237 Å, c = 10.237 Å
α = 16.31°, β = 16.31°, γ = 16.31°
Element x y z (fractional)
Ca1 0.000 0.000 0.000
W1 0.244 0.244 0.244
W2 0.499 0.499 0.499
Au1 0.753 0.753 0.753



## 3
The following is a GGA-PBE calculation of crystalline CaW2Au at its relaxed geometry, from Alexandria.

Properties
- SG = No. 123

a = 3.892 Å, b = 3.892 Å, c = 4.957 Å
α = 90.00°, β = 90.00°, γ = 90.00°
Element x y z (fractional)
Ca1 0.000 0.000 0.000
W1 0.000 0.500 0.500
W2 0.500 0.000 0.500
Au1 0.500 0.500 0.000



## 4
The following is a GGA-PBE calculation of crystalline CaW2Au at its relaxed geometry, from Alexandria.

Properties
- SG = No. 8

a = 5.021 Å, b = 5.021 Å, c = 5.735 Å
α = 94.66°, β = 94.66°, γ = 31.60°
Element x y z (fractional)
Ca1 0.000 0.000 0.000
W1 0.520 0.520 0.484
W2 0.764 0.764 0.314
Au1 0.249 0.249 0.775



The winner here is 4, beating the second structure by 47 meV per atom.



## 1
The following is a GGA-PBE calculation of crystalline CaW2Au at its relaxed geometry, from Alexandria.

Properties
- SG = No. 12

a = 5.928 Å, b = 5.928 Å, c = 2.768 Å
α = 100.36°, β = 100.36°, γ = 124.09°
Element x y z (fractional)
Ca1 0.000 0.000 0.000
W1 0.000 0.500 0.500
W2 0.500 0.000 0.500
Au1 0.500 0.500 0.000



## 2
The following is a GGA-PBE calculation of crystalline CaW2Au at its relaxed geometry, from Alexandria.

Properties
- SG = No. 122

a = 11.188 Å, b = 11.188 Å, c = 11.188 Å
α = 160.22°, β = 160.22°, γ = 28.12°
Element x y z (fractional)
Ca1 0.000 0.000 0.000
Ca2 0.750 0.250 0.500
W1 0.134 0.625 0.009
W2 0.375 0.384 0.509
W3 0.616 0.125 0.991
W4 0.875 0.866 0.491
Au1 0.250 0.750 0.500
Au2 0.500 0.500 0.000



## 3
The following is a GGA-PBE calculation of crystalline CaW2Au at its relaxed geometry, from Alexandria.

Properties
- SG = No. 216

a = 4.697 Å, b = 4.697 Å, c = 4.697 Å
α = 60.00°, β = 60.00°, γ = 60.00°
Element x y z (fractional)
Ca1 0.000 0.000 0.000
W1 0.250 0.250 0.250
W2 0.500 0.500 0.500
Au1 0.750 0.750 0.750



The winner here is 3, beating the second structure by 6 meV per atom.